The following is a PBE-GGA calculation of a geometry-optimized PaAu2Cl8 structure, from the Alexandria database.

Summary:
Calculated density: 3.8 g cm⁻³
Energy relative to the lowest polymorph listed for this composition: 0.017 eV/atom
Energy: -3.7912 eV/atom
Raw formation energy: -1049.7 kJ/mol of formula units

```
data_PaAu2Cl8
_chemical_formula_sum 'Pa2 Au4 Cl16'
_cell_length_a 13.459
_cell_length_b 8.070
_cell_length_c 7.252
_cell_angle_alpha 90.00
_cell_angle_beta 91.00
_cell_angle_gamma 90.00
_space_group_name_H-M_alt 'C 1 2/m 1'
_space_group_IT_number 12
loop_
_space_group_symop_operation_xyz
'x,y,z'
'-x,-y,-z'
'-x,y,-z'
'x,-y,z'
'x+1/2,y+1/2,z'
'-x+1/2,-y+1/2,-z'
'-x+1/2,y+1/2,-z'
'x+1/2,-y+1/2,z'
loop_
_atom_site_label
_atom_site_type_symbol
_atom_site_fract_x
_atom_site_fract_y
_atom_site_fract_z
Pa1 Pa 0.000 0.000 0.000
Au1 Au 0.223 0.000 0.757
Cl1 Cl 0.110 0.229 0.854
Cl2 Cl 0.111 0.000 0.282
Cl3 Cl 0.124 0.500 0.370
```

***

The following is a PBE-GGA calculation of a geometry-optimized PaAu2Cl8 structure, from the Alexandria database.

Summary:
Calculated density: 3.9 g cm⁻³
Energy relative to the lowest polymorph listed for this composition: 0.000 eV/atom
Energy: -3.8082 eV/atom
Raw formation energy: -1067.8 kJ/mol of formula units

```
data_PaAu2Cl8
_chemical_formula_sum 'Pa2 Au4 Cl16'
_cell_length_a 15.807
_cell_length_b 6.944
_cell_length_c 7.994
_cell_angle_alpha 90.00
_cell_angle_beta 118.06
_cell_angle_gamma 90.00
_space_group_name_H-M_alt 'C 1 2/m 1'
_space_group_IT_number 12
loop_
_space_group_symop_operation_xyz
'x,y,z'
'-x,-y,-z'
'-x,y,-z'
'x,-y,z'
'x+1/2,y+1/2,z'
'-x+1/2,-y+1/2,-z'
'-x+1/2,y+1/2,-z'
'x+1/2,-y+1/2,z'
loop_
_atom_site_label
_atom_site_type_symbol
_atom_site_fract_x
_atom_site_fract_y
_atom_site_fract_z
Pa1 Pa 0.000 0.000 0.000
Au1 Au 0.243 0.000 0.464
Cl1 Cl 0.083 0.000 0.390
Cl2 Cl 0.101 0.500 0.459
Cl3 Cl 0.114 0.250 0.000
```

***

The following is a PBE-GGA calculation of a geometry-optimized Pb2AuCl structure, from the Alexandria database.

Summary:
Calculated density: 10.4 g cm⁻³
Energy relative to the lowest polymorph listed for this composition: 0.398 eV/atom
Energy: -3.1101 eV/atom
Raw formation energy: 9.7 kJ/mol of formula units

```
data_Pb2AuCl
_chemical_formula_sum 'Pb8 Au4 Cl4'
_cell_length_a 7.454
_cell_length_b 7.454
_cell_length_c 7.454
_cell_angle_alpha 90.00
_cell_angle_beta 90.00
_cell_angle_gamma 90.00
_space_group_name_H-M_alt 'F -4 3 m'
_space_group_IT_number 216
_space_group_name_Hall 'F -4 2 3'
loop_
_atom_site_label
_atom_site_type_symbol
_atom_site_fract_x
_atom_site_fract_y
_atom_site_fract_z
Pb1 Pb 0.000 0.000 0.000
Pb2 Pb 0.250 0.250 0.250
Au1 Au 0.000 0.000 0.500
Cl1 Cl 0.250 0.250 0.750
```

***

The following is a PBE-GGA calculation of a geometry-optimized PbAuCl structure, from the Alexandria database.

Summary:
Calculated density: 9.7 g cm⁻³
Energy relative to the lowest polymorph listed for this composition: 0.075 eV/atom
Energy: -3.2238 eV/atom
Raw formation energy: -81.0 kJ/mol of formula units

```
data_PbAuCl
_chemical_formula_sum 'Pb4 Au4 Cl4'
_cell_length_a 5.149
_cell_length_b 5.173
_cell_length_c 11.271
_cell_angle_alpha 90.00
_cell_angle_beta 90.00
_cell_angle_gamma 90.00
_space_group_name_H-M_alt 'F m m 2'
_space_group_IT_number 42
_space_group_name_Hall 'F 2 -2'
loop_
_atom_site_label
_atom_site_type_symbol
_atom_site_fract_x
_atom_site_fract_y
_atom_site_fract_z
Pb1 Pb 0.000 0.000 0.000
Au1 Au 0.000 0.000 0.356
Cl1 Cl 0.000 0.000 0.676
```

***

The following is a PBE-GGA calculation of a geometry-optimized PbAuCl2 structure, from the Alexandria database.

Summary:
Calculated density: 7.5 g cm⁻³
Energy relative to the lowest polymorph listed for this composition: 0.181 eV/atom
Energy: -2.9563 eV/atom
Raw formation energy: -110.6 kJ/mol of formula units

```
data_PbAuCl2
_chemical_formula_sum 'Pb1 Au1 Cl2'
_cell_length_a 3.625
_cell_length_b 3.625
_cell_length_c 7.980
_cell_angle_alpha 90.00
_cell_angle_beta 90.00
_cell_angle_gamma 90.00
_space_group_name_H-M_alt 'P 4 m m'
_space_group_IT_number 99
loop_
_space_group_symop_operation_xyz
'x,y,z'
'-y,x,z'
'-x,-y,z'
'y,-x,z'
'-x,y,z'
'y,x,z'
'x,-y,z'
'-y,-x,z'
loop_
_atom_site_label
_atom_site_type_symbol
_atom_site_fract_x
_atom_site_fract_y
_atom_site_fract_z
Pb1 Pb 0.000 0.000 0.000
Au1 Au 0.500 0.500 0.226
Cl1 Cl 0.000 0.000 0.392
Cl2 Cl 0.500 0.500 0.786
```

***

The following is a PBE-GGA calculation of a geometry-optimized Pb2AuCl structure, from the Alexandria database.

Summary:
Calculated density: 9.9 g cm⁻³
Energy relative to the lowest polymorph listed for this composition: 0.259 eV/atom
Energy: -3.2489 eV/atom
Raw formation energy: -43.9 kJ/mol of formula units

```
data_Pb2AuCl
_chemical_formula_sum 'Pb4 Au2 Cl2'
_cell_length_a 3.610
_cell_length_b 6.252
_cell_length_c 9.662
_cell_angle_alpha 90.00
_cell_angle_beta 90.00
_cell_angle_gamma 90.00
_space_group_name_H-M_alt 'C m m 2'
_space_group_IT_number 35
loop_
_space_group_symop_operation_xyz
'x,y,z'
'-x,-y,z'
'-x,y,z'
'x,-y,z'
'x+1/2,y+1/2,z'
'-x+1/2,-y+1/2,z'
'-x+1/2,y+1/2,z'
'x+1/2,-y+1/2,z'
loop_
_atom_site_label
_atom_site_type_symbol
_atom_site_fract_x
_atom_site_fract_y
_atom_site_fract_z
Pb1 Pb 0.000 0.000 0.000
Pb2 Pb 0.000 0.500 0.318
Au1 Au 0.000 0.000 0.540
Cl1 Cl 0.000 0.500 0.752
```

***

The following is a PBE-GGA calculation of a geometry-optimized Pb2AuCl structure, from the Alexandria database.

Summary:
Calculated density: 9.8 g cm⁻³
Energy relative to the lowest polymorph listed for this composition: 0.165 eV/atom
Energy: -3.3428 eV/atom
Raw formation energy: -80.1 kJ/mol of formula units

```
data_Pb2AuCl
_chemical_formula_sum 'Pb2 Au1 Cl1'
_cell_length_a 3.911
_cell_length_b 4.537
_cell_length_c 6.185
_cell_angle_alpha 90.00
_cell_angle_beta 90.00
_cell_angle_gamma 90.00
_space_group_name_H-M_alt 'P m m m'
_space_group_IT_number 47
loop_
_space_group_symop_operation_xyz
'x,y,z'
'-x,-y,-z'
'-x,-y,z'
'x,y,-z'
'x,-y,-z'
'-x,y,z'
'-x,y,-z'
'x,-y,z'
loop_
_atom_site_label
_atom_site_type_symbol
_atom_site_fract_x
_atom_site_fract_y
_atom_site_fract_z
Pb1 Pb 0.000 0.000 0.000
Pb2 Pb 0.500 0.000 0.500
Au1 Au 0.000 0.500 0.500
Cl1 Cl 0.500 0.500 0.000
```

***

The following is a PBE-GGA calculation of a geometry-optimized PbAuCl2 structure, from the Alexandria database.

Summary:
Calculated density: 7.8 g cm⁻³
Energy relative to the lowest polymorph listed for this composition: 0.243 eV/atom
Energy: -2.8943 eV/atom
Raw formation energy: -86.7 kJ/mol of formula units

```
data_PbAuCl2
_chemical_formula_sum 'Pb2 Au2 Cl4'
_cell_length_a 3.701
_cell_length_b 6.300
_cell_length_c 8.641
_cell_angle_alpha 90.00
_cell_angle_beta 90.00
_cell_angle_gamma 90.00
_space_group_name_H-M_alt 'C m m m'
_space_group_IT_number 65
_space_group_name_Hall '-C 2 2'
loop_
_atom_site_label
_atom_site_type_symbol
_atom_site_fract_x
_atom_site_fract_y
_atom_site_fract_z
Pb1 Pb 0.000 0.000 0.000
Au1 Au 0.000 0.000 0.500
Cl1 Cl 0.000 0.500 0.287
```

***

The following is a PBE-GGA calculation of a geometry-optimized PbAuCl2 structure, from the Alexandria database.

Summary:
Calculated density: 7.2 g cm⁻³
Energy relative to the lowest polymorph listed for this composition: 0.212 eV/atom
Energy: -2.9253 eV/atom
Raw formation energy: -98.6 kJ/mol of formula units

```
data_PbAuCl2
_chemical_formula_sum 'Pb4 Au4 Cl8'
_cell_length_a 4.912
_cell_length_b 4.912
_cell_length_c 18.135
_cell_angle_alpha 90.00
_cell_angle_beta 90.00
_cell_angle_gamma 90.00
_space_group_name_H-M_alt 'I -4 2 d'
_space_group_IT_number 122
_space_group_name_Hall 'I -4 2bw'
loop_
_atom_site_label
_atom_site_type_symbol
_atom_site_fract_x
_atom_site_fract_y
_atom_site_fract_z
Pb1 Pb 0.000 0.000 0.000
Au1 Au 0.000 0.000 0.500
Cl1 Cl 0.223 0.250 0.625
```

***

The following is a PBE-GGA calculation of a geometry-optimized PbAuCl structure, from the Alexandria database.

Summary:
Calculated density: 8.6 g cm⁻³
Energy relative to the lowest polymorph listed for this composition: 0.000 eV/atom
Energy: -3.2992 eV/atom
Raw formation energy: -102.8 kJ/mol of formula units

```
data_PbAuCl
_chemical_formula_sum 'Pb1 Au1 Cl1'
_cell_length_a 4.2077
_cell_length_b 4.2077
_cell_length_c 5.5185
_cell_angle_alpha 90.00
_cell_angle_beta 90.00
_cell_angle_gamma 120.00
_space_group_name_H-M_alt 'P 3 m 1'
_space_group_IT_number 156
loop_
_space_group_symop_operation_xyz
'x,y,z'
'-y,x-y,z'
'-x+y,-x,z'
'-y,-x,z'
'-x+y,y,z'
'x,x-y,z'
loop_
_atom_site_label
_atom_site_type_symbol
_atom_site_fract_x
_atom_site_fract_y
_atom_site_fract_z
Pb1 Pb 0.0000 0.0000 0.0000
Au1 Au 0.3333 0.6667 0.2954
Cl1 Cl 0.6667 0.3333 0.6624
```

***

The following is a PBE-GGA calculation of a geometry-optimized PbAu2Cl structure, from the Alexandria database.

Summary:
Calculated density: 10.9 g cm⁻³
Energy relative to the lowest polymorph listed for this composition: 0.262 eV/atom
Energy: -3.0434 eV/atom
Raw formation energy: -6.2 kJ/mol of formula units

```
data_PbAu2Cl
_chemical_formula_sum 'Pb3 Au6 Cl3'
_cell_length_a 3.9007
_cell_length_b 3.9007
_cell_length_c 22.0613
_cell_angle_alpha 90.00
_cell_angle_beta 90.00
_cell_angle_gamma 120.00
_space_group_name_H-M_alt 'R -3 m'
_space_group_IT_number 166
_space_group_name_Hall '-R 3 2"'
loop_
_atom_site_label
_atom_site_type_symbol
_atom_site_fract_x
_atom_site_fract_y
_atom_site_fract_z
Pb1 Pb 0.0000 0.0000 0.0000
Au1 Au 0.0000 0.0000 0.2501
Cl1 Cl 0.0000 0.0000 0.5000
```

***

The following is a PBE-GGA calculation of a geometry-optimized Pb3Au5Cl12 structure, from the Alexandria database.

Summary:
Calculated density: 6.2 g cm⁻³
Energy: -2.9445 eV/atom
Raw formation energy: -889.4 kJ/mol of formula units

```
data_Pb3Au5Cl12
_chemical_formula_sum 'Pb24 Au40 Cl96'
_cell_length_a 16.370
_cell_length_b 16.370
_cell_length_c 16.370
_cell_angle_alpha 90.00
_cell_angle_beta 90.00
_cell_angle_gamma 90.00
_space_group_name_H-M_alt 'I a -3 d'
_space_group_IT_number 230
_space_group_name_Hall '-I 4bd 2c 3'
loop_
_atom_site_label
_atom_site_type_symbol
_atom_site_fract_x
_atom_site_fract_y
_atom_site_fract_z
Pb1 Pb 0.000 0.250 0.125
Au1 Au 0.000 0.000 0.000
Au2 Au 0.000 0.250 0.375
Cl1 Cl 0.023 0.063 0.651
```